Record 1
CuRu3W | PBE | optimized geometry

The density comes out at 8.92 g cm⁻³. As for the crystal system: cubic.

It has space group Pm-3m (No. 221), with a = 4.6797 Å, b = 4.6797 Å, c = 4.6797 Å, α = 90.00°, β = 90.00° and γ = 90.00°. The asymmetric unit holds Cu at (0.0000, 0.0000, 0.0000), Ru at (0.0000, 0.5000, 0.5000) and W at (0.5000, 0.5000, 0.5000).

***

Record 2
CuRuW2 | PBE | optimized geometry

The density comes out at 13.67 g cm⁻³. As for the crystal system: tetragonal.

It has space group I-42d (No. 122), with a = 7.0121 Å, b = 7.0121 Å, c = 5.2611 Å, α = 90.00°, β = 90.00° and γ = 90.00°. The asymmetric unit holds Cu at (0.0000, 0.0000, 0.0000), Ru at (0.0000, 0.0000, 0.5000) and W at (0.2310, 0.2500, 0.6250).

***

no.,E_form (meV per atom),size of the total moment (μB/f.u.),uncorrected energy (eV for the cell shown)
1,1752,2.5,-36.115
2,852,0.0,-143.480